PBE Pa6Ga2C, relaxed; calculated total energy = -7.715 eV per atom; ΔH_f (0 K) = 0.31 eV per atom; space-group type = P4_2/mnm (136); energy above the lowest structure with this stoichiometry = 518.4 meV/atom
1.0
-3.177 3.205 3.465
-4.119 0.157 -3.922
-5.829 -11.882 5.645
Ga Pa C
4 12 2
Direct
0.500 0.500 0.689
0.000 0.000 0.189
0.000 0.000 0.811
0.500 0.500 0.311
0.331 0.331 0.130
0.169 0.831 0.630
0.331 0.331 0.870
0.671 0.671 0.500
0.329 0.329 0.500
0.669 0.669 0.870
0.171 0.829 0.000
0.831 0.169 0.630
0.829 0.171 0.000
0.831 0.169 0.370
0.669 0.669 0.130
0.169 0.831 0.370
0.500 0.500 0.000
0.000 0.000 0.500